[1]
A geometry-optimized ScIn2NiHg structure. Source: the Alexandria database, functional PBE.

It has space group P4/mmm (No. 123), with a = 4.920 Å, b = 4.920 Å, c = 4.876 Å, α = 90.00°, β = 90.00° and γ = 90.00°. The asymmetric unit holds Sc at (0.000, 0.000, 0.000), In at (0.000, 0.500, 0.500), Ni at (0.000, 0.000, 0.500) and Hg at (0.500, 0.500, 0.000).

Its formation energy is -0.123 eV per atom. Its crystal system is tetragonal. The calculation puts the density of states at the Fermi level at 3.70 states/eV/cell.


[2]
A geometry-optimized InNiSnHg2 structure. Source: the Alexandria database, functional PBE.

It has space group P4/mmm (No. 123), with a = 5.119 Å, b = 5.119 Å, c = 4.876 Å, α = 90.00°, β = 90.00° and γ = 90.00°. The asymmetric unit holds In at (0.000, 0.000, 0.000), Ni at (0.500, 0.500, 0.500), Sn at (0.500, 0.500, 0.000) and Hg at (0.000, 0.500, 0.500).

Its formation energy is 0.080 eV per atom. Its crystal system is tetragonal. The calculation puts the density of states at the Fermi level at 1.97 states/eV/cell.


[3]
A geometry-optimized In2NiSnHg structure. Source: the Alexandria database, functional PBE.

It has space group P4/mmm (No. 123), with a = 5.032 Å, b = 5.032 Å, c = 4.996 Å, α = 90.00°, β = 90.00° and γ = 90.00°. The asymmetric unit holds In at (0.000, 0.500, 0.000), Ni at (0.000, 0.000, 0.000), Sn at (0.000, 0.000, 0.500) and Hg at (0.500, 0.500, 0.500).

Its formation energy is -0.019 eV per atom. Its crystal system is tetragonal. The calculation puts the density of states at the Fermi level at 2.67 states/eV/cell.


[4]
A geometry-optimized SrIn2NiHg structure. Source: the Alexandria database, functional PBE.

It has space group P4/mmm (No. 123), with a = 5.007 Å, b = 5.007 Å, c = 5.160 Å, α = 90.00°, β = 90.00° and γ = 90.00°. The asymmetric unit holds Sr at (0.000, 0.000, 0.000), In at (0.000, 0.500, 0.500), Ni at (0.500, 0.500, 0.500) and Hg at (0.500, 0.500, 0.000).

Its formation energy is -0.234 eV per atom. Its crystal system is tetragonal. The calculation puts the density of states at the Fermi level at 3.61 states/eV/cell.


[5]
A geometry-optimized SrIn2NiHg structure. Source: the Alexandria database, functional PBE.

It has space group P4/mmm (No. 123), with a = 4.981 Å, b = 4.981 Å, c = 5.705 Å, α = 90.00°, β = 90.00° and γ = 90.00°. The asymmetric unit holds Sr at (0.000, 0.000, 0.000), In at (0.000, 0.500, 0.500), Ni at (0.000, 0.000, 0.500) and Hg at (0.500, 0.500, 0.000).

Its formation energy is -0.225 eV per atom. Its crystal system is tetragonal. The calculation puts the density of states at the Fermi level at 1.95 states/eV/cell.


[6]
A geometry-optimized TbInNiHg structure. Source: the Alexandria database, functional PBE.

It has space group F-43m (No. 216), with a = 6.914 Å, b = 6.914 Å, c = 6.914 Å, α = 90.00°, β = 90.00° and γ = 90.00°. The asymmetric unit holds Tb at (0.000, 0.000, 0.000), In at (0.000, 0.000, 0.500), Ni at (0.250, 0.250, 0.250) and Hg at (0.250, 0.250, 0.750).

Its formation energy is -0.273 eV per atom. Its crystal system is cubic. The calculation puts the density of states at the Fermi level at 6.41 states/eV/cell.


[7]
A geometry-optimized In2NiHgTe structure. Source: the Alexandria database, functional PBE.

It has space group P4/mmm (No. 123), with a = 5.094 Å, b = 5.094 Å, c = 5.048 Å, α = 90.00°, β = 90.00° and γ = 90.00°. The asymmetric unit holds In at (0.000, 0.500, 0.000), Ni at (0.000, 0.000, 0.000), Hg at (0.000, 0.000, 0.500) and Te at (0.500, 0.500, 0.500).

Its crystal system is tetragonal. The calculation puts the density of states at the Fermi level at 2.87 states/eV/cell. For the uncorrected formation energy, the calculation gives 0.01 eV/atom.


[8]
A geometry-optimized In2NiHgTe structure. Source: the Alexandria database, functional PBE.

It has space group P4/mmm (No. 123), with a = 5.125 Å, b = 5.125 Å, c = 5.087 Å, α = 90.00°, β = 90.00° and γ = 90.00°. The asymmetric unit holds In at (0.000, 0.500, 0.000), Ni at (0.000, 0.000, 0.000), Hg at (0.500, 0.500, 0.500) and Te at (0.000, 0.000, 0.500).

Its crystal system is tetragonal. The calculation puts the density of states at the Fermi level at 1.90 states/eV/cell. For the uncorrected formation energy, the calculation gives -0.02 eV/atom.


[9]
A geometry-optimized TiInNiHg2 structure. Source: the Alexandria database, functional PBE.

It has space group P4/mmm (No. 123), with a = 5.473 Å, b = 5.473 Å, c = 4.425 Å, α = 90.00°, β = 90.00° and γ = 90.00°. The asymmetric unit holds Ti at (0.000, 0.000, 0.000), In at (0.500, 0.500, 0.500), Ni at (0.000, 0.000, 0.500) and Hg at (0.000, 0.500, 0.000).

Its formation energy is 0.616 eV per atom. Its crystal system is tetragonal. The calculation puts the density of states at the Fermi level at 5.31 states/eV/cell.


[10]
A geometry-optimized TlIn2NiHg structure. Source: the Alexandria database, functional PBE.

It has space group P4/mmm (No. 123), with a = 5.041 Å, b = 5.041 Å, c = 5.122 Å, α = 90.00°, β = 90.00° and γ = 90.00°. The asymmetric unit holds Tl at (0.000, 0.000, 0.000), In at (0.000, 0.500, 0.500), Ni at (0.000, 0.000, 0.500) and Hg at (0.500, 0.500, 0.000).

Its formation energy is -0.007 eV per atom. Its crystal system is tetragonal. The calculation puts the density of states at the Fermi level at 1.68 states/eV/cell.


[11]
A geometry-optimized TlInNiHg2 structure. Source: the Alexandria database, functional PBE.

It has space group P4/mmm (No. 123), with a = 5.132 Å, b = 5.132 Å, c = 4.958 Å, α = 90.00°, β = 90.00° and γ = 90.00°. The asymmetric unit holds Tl at (0.000, 0.000, 0.000), In at (0.500, 0.500, 0.000), Ni at (0.500, 0.500, 0.500) and Hg at (0.000, 0.500, 0.500).

Its formation energy is 0.040 eV per atom. Its crystal system is tetragonal. The calculation puts the density of states at the Fermi level at 2.30 states/eV/cell.


[12]
A geometry-optimized TlIn2NiHg structure. Source: the Alexandria database, functional PBE.

It has space group P4/mmm (No. 123), with a = 4.999 Å, b = 4.999 Å, c = 5.147 Å, α = 90.00°, β = 90.00° and γ = 90.00°. The asymmetric unit holds Tl at (0.000, 0.000, 0.000), In at (0.000, 0.500, 0.500), Ni at (0.500, 0.500, 0.500) and Hg at (0.500, 0.500, 0.000).

Its formation energy is 0.003 eV per atom. Its crystal system is tetragonal. The calculation puts the density of states at the Fermi level at 2.28 states/eV/cell.


[13]
A geometry-optimized TmInNiHg structure. Source: the Alexandria database, functional PBE.

It has space group F-43m (No. 216), with a = 6.843 Å, b = 6.843 Å, c = 6.843 Å, α = 90.00°, β = 90.00° and γ = 90.00°. The asymmetric unit holds Tm at (0.000, 0.000, 0.000), In at (0.000, 0.000, 0.500), Ni at (0.250, 0.250, 0.750) and Hg at (0.250, 0.250, 0.250).

Its formation energy is -0.258 eV per atom. Its crystal system is cubic. The calculation puts the density of states at the Fermi level at 6.46 states/eV/cell.


[14]
A geometry-optimized Y3In3NiHg2 structure. Source: the Alexandria database, functional PBE.

It has space group P-62m (No. 189), with a = 7.7871 Å, b = 7.7871 Å, c = 4.0145 Å, α = 90.00°, β = 90.00° and γ = 120.00°. The asymmetric unit holds Y at (0.0000, 0.3916, 0.0000), In at (0.0000, 0.7606, 0.5000), Ni at (0.0000, 0.0000, 0.0000) and Hg at (0.3333, 0.6667, 0.5000).

Its formation energy is -0.511 eV per atom. Its crystal system is hexagonal. The calculation puts the density of states at the Fermi level at 3.50 states/eV/cell.